A plane-wave DFT calculation with meta-GGA SCAN was carried out for a crystal of SrBiAsSe2 relaxed with PBEsol.

The structure in CIF format:
```
data_SrBiAsSe2
_cell_length_a 5.469
_cell_length_b 5.469
_cell_length_c 5.326
_cell_angle_alpha 90.00
_cell_angle_beta 90.00
_cell_angle_gamma 90.00
_symmetry_space_group_name_H-M 'P 4/m m m'
_symmetry_Int_Tables_number 123
_symmetry_space_group_name_Hall '-P 4 2'
loop_
_atom_site_label
_atom_site_fract_x
_atom_site_fract_y
_atom_site_fract_z
Sr1 0.000 0.000 0.000
Bi1 0.500 0.500 0.500
As1 0.500 0.500 0.000
Se1 0.000 0.500 0.500
```

Computed properties:
As for the uncorrected formation energy: -0.304 eV/atom. The calculation puts the total magnetic moment at 0.00 μB per cell. As for the density of states at the Fermi level: 5.03 states/eV per cell.